KSn8Rh2 | PBE | optimized geometry

Properties
Fermi-level density of states = 0.8053 states/eV per atom
E_tot = -4.46 eV/atom
formation enthalpy at 0 K = -113 meV per atom
magnetic moment = 0.00 μB/cell

Cell: 6.3934 6.3934 9.1180 Å, 90.00 90.00 90.00°
Sites, in units of the cell vectors:
Sn 0.7521 0.2479 0.8256
Sn 0.2479 0.2479 0.1744
Sn 0.2479 0.2479 0.8256
Sn 0.7521 0.7521 0.1744
Sn 0.2479 0.7521 0.1744
Sn 0.2479 0.7521 0.8256
Sn 0.7521 0.7521 0.8256
Sn 0.7521 0.2479 0.1744
Rh 0.0000 0.5000 0.0000
Rh 0.5000 0.0000 0.0000
K 0.5000 0.5000 0.5000